Record 1
Below is a geometry-optimized AcFeSi2 structure, with properties calculated at the PBE level.

abc: 8.860 8.860 4.382
angles: 90.00 90.00 152.56
Fractional positions:
Ac1 0.144 0.856 0.000
Ac2 0.856 0.144 0.000
Fe1 0.433 0.567 0.500
Fe2 0.567 0.433 0.500
Si1 0.000 0.000 0.500
Si2 0.292 0.708 0.500
Si3 0.500 0.500 0.000
Si4 0.708 0.292 0.500

## Properties
- E_tot: -6.315 eV per atom
- ΔE_f (raw): -44 kJ/mol of atoms
- ΔE to the lowest computed polymorph: 56.8 meV per atom

Record 2
Below is a geometry-optimized MgTlPb2 structure, with properties calculated at the PBE level.

abc: 6.960 6.960 6.960
angles: 102.06 102.06 125.60
Fractional positions:
Mg1 0.000 0.000 0.000
Mg2 0.750 0.250 0.500
Tl1 0.250 0.750 0.500
Tl2 0.500 0.500 0.000
Pb1 0.097 0.625 0.972
Pb2 0.375 0.347 0.472
Pb3 0.653 0.125 0.028
Pb4 0.875 0.903 0.528

## Properties
- Energy relative to the elements: 0.53 eV/f.u.
- E_tot: -2.713 eV per atom

Record 3
Below is a geometry-optimized Fe2AsAu structure, with properties calculated at the PBE level.

abc: 4.798 4.798 4.374
angles: 116.71 116.71 42.30
Fractional positions:
Fe1 0.230 0.230 0.229
Fe2 0.770 0.770 0.771
As1 0.500 0.500 0.000
Au1 0.000 0.000 0.500

## Properties
- Energy relative to the elements: 0.85 eV/f.u.
- E_tot: -6.001 eV per atom

Record 4
Below is a geometry-optimized LiHoAlZn structure, with properties calculated at the PBE level.

abc: 4.671 4.671 4.671
angles: 60.00 60.00 60.00
Fractional positions:
Li1 0.000 0.000 0.000
Ho1 0.250 0.250 0.250
Al1 0.750 0.750 0.750
Zn1 0.500 0.500 0.500

## Properties
- Energy relative to the elements: -1.16 eV/f.u.
- E_tot: -3.167 eV per atom

Record 5
Below is a geometry-optimized TlCrBr2 structure, with properties calculated at the PBE level.

abc: 5.353 5.353 5.353
angles: 60.00 60.00 60.00
Fractional positions:
Tl1 0.000 0.000 0.000
Cr1 0.750 0.750 0.750
Br1 0.250 0.250 0.250
Br2 0.500 0.500 0.500

## Properties
- E_tot: -3.712 eV per atom
- ΔE_f (raw): 12 kJ/mol of atoms
- ΔE to the lowest computed polymorph: 504.0 meV per atom

Record 6
Below is a geometry-optimized ScAlZn2 structure, with properties calculated at the PBE level.

abc: 3.087 3.087 7.178
angles: 90.00 90.00 90.00
Fractional positions:
Sc1 0.000 0.000 0.000
Al1 0.500 0.500 0.719
Zn1 0.000 0.000 0.489
Zn2 0.500 0.500 0.273

## Properties
- Energy relative to the elements: -0.79 eV/f.u.
- E_tot: -3.353 eV per atom

Record 7
Below is a geometry-optimized AcPmMg2 structure, with properties calculated at the PBE level.

abc: 3.986 3.986 8.019
angles: 90.00 90.00 90.00
Fractional positions:
Ac1 0.000 0.000 0.000
Pm1 0.000 0.000 0.500
Mg1 0.500 0.500 0.275
Mg2 0.500 0.500 0.725

## Properties
- Energy relative to the elements: -0.35 eV/f.u.
- E_tot: -3.098 eV per atom
- ΔE to the lowest computed polymorph: 0.0 meV per atom

Record 8
Below is a geometry-optimized Ca2TaTe structure, with properties calculated at the PBE level.

abc: 6.193 6.193 5.610
angles: 109.14 109.14 33.35
Fractional positions:
Ca1 0.000 0.000 0.000
Ca2 0.201 0.201 0.644
Ta1 0.437 0.437 0.448
Te1 0.754 0.754 0.192

## Properties
- E_tot: -4.697 eV per atom
- ΔE_f (raw): 5 kJ/mol of atoms